VASP calculation (PBE) on crystalline Dy2PSe at its relaxed geometry.

POSCAR file:
```
Dy2PSe
1.0
4.0233 0.0000 0.0000
0.0000 5.7006 0.0000
0.0000 0.0000 8.1636
Dy P Se
4 2 2
direct
0.2500 0.2500 0.1109 Dy
0.2500 0.2500 0.6473 Dy
0.7500 0.7500 0.3527 Dy
0.7500 0.7500 0.8891 Dy
0.2500 0.7500 0.1244 P
0.7500 0.2500 0.8756 P
0.2500 0.7500 0.6202 Se
0.7500 0.2500 0.3798 Se
```

Results
Formation energy without anion corrections in eV/f.u.: -7.1
DOS at the Fermi energy in states/eV/atom: 0.25
Space-group type: Pmmn

VASP calculation (PBE) on crystalline NdSm12Tl3 at its relaxed geometry.

POSCAR file:
```
NdSm12Tl3
1.0
4.9529 0.0000 0.0000
0.0000 4.9529 0.0000
0.0000 0.0000 20.3376
Nd Sm Tl
1 12 3
direct
0.0000 0.0000 0.0000 Nd
0.0000 0.5000 0.1321 Sm
0.0000 0.5000 0.3776 Sm
0.0000 0.5000 0.6224 Sm
0.0000 0.5000 0.8679 Sm
0.5000 0.0000 0.1321 Sm
0.5000 0.0000 0.3776 Sm
0.5000 0.0000 0.6224 Sm
0.5000 0.0000 0.8679 Sm
0.5000 0.5000 0.0000 Sm
0.5000 0.5000 0.2560 Sm
0.5000 0.5000 0.5000 Sm
0.5000 0.5000 0.7440 Sm
0.0000 0.0000 0.2572 Tl
0.0000 0.0000 0.5000 Tl
0.0000 0.0000 0.7428 Tl
```

Results
DOS at the Fermi energy in states/eV/atom: 1.46
Space-group type: P4/mmm
Uncorrected energy in eV per atom: -4.416

VASP calculation (PBE) on crystalline CaAs2PbBr at its relaxed geometry.

POSCAR file:
```
CaAs2PbBr
1.0
5.4794 0.0000 0.0000
0.0000 5.4794 0.0000
0.0000 0.0000 5.4316
Ca As Pb Br
1 2 1 1
direct
0.0000 0.0000 0.0000 Ca
0.0000 0.5000 0.0000 As
0.5000 0.0000 0.0000 As
0.5000 0.5000 0.5000 Pb
0.0000 0.0000 0.5000 Br
```

Results
Formation energy without anion corrections in eV/f.u.: 0.4
DOS at the Fermi energy in states/eV/atom: 0.98
Space-group type: P4/mmm

VASP calculation (PBE) on crystalline BaZnGa2Pt at its relaxed geometry.

POSCAR file:
```
BaZnGa2Pt
1.0
-2.2616 2.2616 5.4800
2.2616 -2.2616 5.4800
2.2616 2.2616 -5.4800
Ba Zn Ga Pt
1 1 2 1
direct
0.0000 0.0000 0.0000 Ba
0.7500 0.2500 0.5000 Zn
0.3649 0.3649 0.0000 Ga
0.6351 0.6351 0.0000 Ga
0.2500 0.7500 0.5000 Pt
```

Results
DOS at the Fermi energy in states/eV/atom: 0.59
Space-group type: I-4m2
Uncorrected energy in eV per atom: -3.584

VASP calculation (PBE) on crystalline NbPSCl2 at its relaxed geometry.

POSCAR file:
```
NbPSCl2
1.0
4.6353 0.0000 0.0000
0.0000 4.6353 0.0000
0.0000 0.0000 4.9011
Nb P S Cl
1 1 1 2
direct
0.0000 0.0000 0.0000 Nb
0.5000 0.5000 0.5000 P
0.5000 0.5000 0.0000 S
0.0000 0.5000 0.5000 Cl
0.5000 0.0000 0.5000 Cl
```

Results
Formation energy without anion corrections in eV/f.u.: 3.0
DOS at the Fermi energy in states/eV/atom: 1.40
Space-group type: P4/mmm

VASP calculation (PBE) on crystalline Ba3Ag2SbS6 at its relaxed geometry.

POSCAR file:
```
Ba3Ag2SbS6
1.0
7.3661 0.0000 0.0000
-3.6830 6.3792 0.0000
0.0000 0.0000 7.7073
Ba Ag Sb S
3 2 1 6
direct
0.0000 0.0000 0.0000 Ba
0.3333 0.6667 0.6129 Ba
0.6667 0.3333 0.3871 Ba
0.3333 0.6667 0.1329 Ag
0.6667 0.3333 0.8671 Ag
0.0000 0.0000 0.5000 Sb
0.1662 0.3325 0.3042 S
0.1662 0.8338 0.3042 S
0.3325 0.1662 0.6958 S
0.6675 0.8338 0.3042 S
0.8338 0.1662 0.6958 S
0.8338 0.6675 0.6958 S
```

Results
Formation energy without anion corrections in eV/f.u.: -11.0
DOS at the Fermi energy in states/eV/atom: 0.17
Space-group type: P-3m1

VASP calculation (PBE) on crystalline TbNdAl3 at its relaxed geometry.

POSCAR file:
```
TbNdAl3
1.0
1.8542 -13.9085 0.0000
1.8542 13.9085 0.0000
0.0000 0.0000 4.5683
Tb Nd Al
2 2 6
direct
0.2107 0.7893 0.7500 Tb
0.7893 0.2107 0.2500 Tb
0.0725 0.9275 0.2500 Nd
0.9275 0.0725 0.7500 Nd
0.3276 0.6724 0.7500 Al
0.3799 0.6201 0.2500 Al
0.4759 0.5241 0.2500 Al
0.5241 0.4759 0.7500 Al
0.6201 0.3799 0.7500 Al
0.6724 0.3276 0.2500 Al
```

Results
DOS at the Fermi energy in states/eV/atom: 0.65
Space-group type: Cmcm
Uncorrected energy in eV per atom: -4.567

VASP calculation (PBE) on crystalline Tb4SnBi3 at its relaxed geometry.

POSCAR file:
```
Tb4SnBi3
1.0
6.3267 0.0000 0.0000
0.0000 6.3267 0.0000
0.0000 0.0000 6.3267
Tb Sn Bi
4 1 3
direct
0.0000 0.0000 0.0000 Tb
0.0000 0.5000 0.5000 Tb
0.5000 0.0000 0.5000 Tb
0.5000 0.5000 0.0000 Tb
0.5000 0.5000 0.5000 Sn
0.0000 0.0000 0.5000 Bi
0.0000 0.5000 0.0000 Bi
0.5000 0.0000 0.0000 Bi
```

Results
DOS at the Fermi energy in states/eV/atom: 0.57
Space-group type: Pm-3m
Uncorrected energy in eV per atom: -5.059

VASP calculation (PBE) on crystalline YGa2Tc at its relaxed geometry.

POSCAR file:
```
YGa2Tc
1.0
-2.1312 2.1312 9.3073
2.1312 -2.1312 9.3073
2.1312 2.1312 -9.3073
Y Ga Tc
2 4 2
direct
0.0000 0.0000 0.0000 Y
0.7500 0.2500 0.5000 Y
0.2257 0.6250 0.1007 Ga
0.3750 0.4757 0.6007 Ga
0.5243 0.1250 0.8993 Ga
0.8750 0.7743 0.3993 Ga
0.2500 0.7500 0.5000 Tc
0.5000 0.5000 0.0000 Tc
```

Results
DOS at the Fermi energy in states/eV/atom: 0.54
Space-group type: I-42d
Uncorrected energy in eV per atom: -5.632

VASP calculation (PBE) on crystalline BaAsPS2 at its relaxed geometry.

POSCAR file:
```
BaAsPS2
1.0
5.0307 0.0000 0.0000
0.0000 5.0307 0.0000
0.0000 0.0000 4.7953
Ba As P S
1 1 1 2
direct
0.0000 0.0000 0.0000 Ba
0.5000 0.5000 0.5000 As
0.5000 0.5000 0.0000 P
0.0000 0.5000 0.5000 S
0.5000 0.0000 0.5000 S
```

Results
Formation energy without anion corrections in eV/f.u.: -2.2
DOS at the Fermi energy in states/eV/atom: 0.87
Space-group type: P4/mmm

VASP calculation (PBE) on crystalline ScU4S7 at its relaxed geometry.

POSCAR file:
```
ScU4S7
1.0
3.8611 0.0000 0.0000
-1.9305 3.3438 0.0000
0.0000 0.0000 22.5092
Sc U S
1 4 7
direct
0.0000 0.0000 0.0000 Sc
0.3333 0.6667 0.1363 U
0.3333 0.6667 0.4286 U
0.6667 0.3333 0.5714 U
0.6667 0.3333 0.8637 U
0.0000 0.0000 0.2015 S
0.0000 0.0000 0.5000 S
0.0000 0.0000 0.7985 S
0.3333 0.6667 0.6369 S
0.3333 0.6667 0.9367 S
0.6667 0.3333 0.0633 S
0.6667 0.3333 0.3631 S
```

Results
Formation energy without anion corrections in eV/f.u.: -17.2
DOS at the Fermi energy in states/eV/atom: 1.29
Space-group type: P-3m1

VASP calculation (PBE) on crystalline RbGaSnPb2 at its relaxed geometry.

POSCAR file:
```
RbGaSnPb2
1.0
-2.4599 2.4599 7.2026
2.4599 -2.4599 7.2026
2.4599 2.4599 -7.2026
Rb Ga Sn Pb
1 1 1 2
direct
0.0000 0.0000 0.0000 Rb
0.7500 0.2500 0.5000 Ga
0.2500 0.7500 0.5000 Sn
0.3767 0.3767 0.0000 Pb
0.6233 0.6233 0.0000 Pb
```

Results
DOS at the Fermi energy in states/eV/atom: 0.38
Space-group type: I-4m2
Uncorrected energy in eV per atom: -3.152

VASP calculation (PBE) on crystalline Ba2FeRe at its relaxed geometry.

POSCAR file:
```
Ba2FeRe
1.0
-5.9646 5.9646 2.2246
5.9646 -5.9646 2.2246
5.9646 5.9646 -2.2246
Ba Fe Re
4 2 2
direct
0.3750 0.1882 0.3132 Ba
0.8118 0.1250 0.1868 Ba
0.8750 0.0618 0.6868 Ba
0.9382 0.6250 0.8132 Ba
0.0000 0.0000 0.0000 Fe
0.7500 0.2500 0.5000 Fe
0.2500 0.7500 0.5000 Re
0.5000 0.5000 0.0000 Re
```

Results
DOS at the Fermi energy in states/eV/atom: 1.27
Space-group type: I-42d
Uncorrected energy in eV per atom: -5.203

VASP calculation (PBE) on crystalline NdTiPd2 at its relaxed geometry.

POSCAR file:
```
NdTiPd2
1.0
3.2463 0.0000 0.0000
0.0000 3.2463 0.0000
0.0000 0.0000 7.3893
Nd Ti Pd
1 1 2
direct
0.0000 0.0000 0.0000 Nd
0.0000 0.0000 0.5000 Ti
0.5000 0.5000 0.3058 Pd
0.5000 0.5000 0.6942 Pd
```

Results
DOS at the Fermi energy in states/eV/atom: 0.65
Space-group type: P4/mmm
Uncorrected energy in eV per atom: -6.341

VASP calculation (PBE) on crystalline SmP2Pt5 at its relaxed geometry.

POSCAR file:
```
SmP2Pt5
1.0
-2.0631 3.4835 4.7582
2.0631 -3.4835 4.7582
2.0631 3.4835 -4.7582
Sm P Pt
1 2 5
direct
0.0000 0.0000 0.0000 Sm
0.2529 0.7529 0.5000 P
0.7471 0.2471 0.5000 P
0.1431 0.3521 0.7910 Pt
0.4388 0.6479 0.7910 Pt
0.5000 0.0000 0.5000 Pt
0.5612 0.3521 0.2090 Pt
0.8569 0.6479 0.2090 Pt
```

Results
DOS at the Fermi energy in states/eV/atom: 0.66
Space-group type: Immm
Uncorrected energy in eV per atom: -6.440

VASP calculation (PBE) on crystalline RbCdPb at its relaxed geometry.

POSCAR file:
```
RbCdPb
1.0
5.4201 0.0000 0.0000
-2.7101 4.6939 0.0000
0.0000 0.0000 4.3011
Rb Cd Pb
1 1 1
direct
0.0000 0.0000 0.0000 Rb
0.3333 0.6667 0.5000 Cd
0.6667 0.3333 0.5000 Pb
```

Results
DOS at the Fermi energy in states/eV/atom: 0.42
Space-group type: P-6m2
Uncorrected energy in eV per atom: -1.936

VASP calculation (PBE) on crystalline CoRh at its relaxed geometry.

POSCAR file:
```
CoRh
1.0
0.0000 2.6137 2.6137
2.6137 0.0000 2.6137
2.6137 2.6137 0.0000
Co Rh
1 1
direct
0.0000 0.0000 0.0000 Co
0.7500 0.7500 0.7500 Rh
```

Results
DOS at the Fermi energy in states/eV/atom: 1.65
Space-group type: F-43m
Uncorrected energy in eV per atom: -6.084

VASP calculation (PBE) on crystalline Sr5Al9 at its relaxed geometry.

POSCAR file:
```
Sr5Al9
1.0
2.9434 1.6994 11.8640
-2.9434 1.6994 11.8640
0.0000 -3.3988 11.8640
Sr Al
5 9
direct
0.0000 0.0000 0.0000 Sr
0.1837 0.1837 0.1837 Sr
0.2831 0.2831 0.2831 Sr
0.7169 0.7169 0.7169 Sr
0.8163 0.8163 0.8163 Sr
0.2258 0.7358 0.7358 Al
0.2642 0.2642 0.7742 Al
0.2642 0.7742 0.2642 Al
0.3760 0.3760 0.3760 Al
0.5000 0.5000 0.5000 Al
0.6240 0.6240 0.6240 Al
0.7358 0.2258 0.7358 Al
0.7358 0.7358 0.2258 Al
0.7742 0.2642 0.2642 Al
```

Results
DOS at the Fermi energy in states/eV/atom: 0.37
Space-group type: R-3m
Uncorrected energy in eV per atom: -3.278

VASP calculation (PBE) on crystalline Pm3Nd3Tl4 at its relaxed geometry.

POSCAR file:
```
Pm3Nd3Tl4
1.0
4.5802 0.0000 0.0000
0.0000 5.8885 5.9038
0.0000 -5.8885 5.9038
Pm Nd Tl
3 3 4
direct
0.0000 0.0000 0.0000 Pm
0.0000 0.5014 0.8422 Pm
0.0000 0.8422 0.5014 Pm
0.0000 0.3412 0.3412 Nd
0.5000 0.1718 0.6700 Nd
0.5000 0.6700 0.1718 Nd
0.5000 0.0406 0.2993 Tl
0.5000 0.2993 0.0406 Tl
0.5000 0.5437 0.5437 Tl
0.5000 0.8009 0.8009 Tl
```

Results
DOS at the Fermi energy in states/eV/atom: 1.61
Space-group type: Amm2
Uncorrected energy in eV per atom: -4.094